Entry 1:
La4CuAg2 | PBE | relaxed

```
data_La4CuAg2
_space_group_name_H-M_alt 'R -3 m'
_space_group_IT_number 166
_space_group_name_Hall '-R 3 2"'
_cell_length_a 5.3104
_cell_length_b 5.3104
_cell_length_c 25.9368
_cell_angle_alpha 90.00
_cell_angle_beta 90.00
_cell_angle_gamma 120.00
loop_
_atom_site_label
_atom_site_fract_x
_atom_site_fract_y
_atom_site_fract_z
_atom_site_occupancy
La1 0.0000 0.0000 0.1221 1
La2 0.0000 0.0000 0.3720 1
Cu1 0.0000 0.0000 0.0000 1
Ag1 0.0000 0.0000 0.2471 1
```

DFT total energy in eV/atom: -4.30
Volume in Å³/cell: 633.4
DFT formation energy in eV/atom: -0.080

---

Entry 2:
La6CuAg | PBE | relaxed

```
data_La6CuAg
_space_group_name_H-M_alt 'P -1'
_space_group_IT_number 2
_space_group_name_Hall '-P 1'
_cell_length_a 6.773
_cell_length_b 6.782
_cell_length_c 8.178
_cell_angle_alpha 90.16
_cell_angle_beta 113.96
_cell_angle_gamma 119.71
loop_
_atom_site_label
_atom_site_fract_x
_atom_site_fract_y
_atom_site_fract_z
_atom_site_occupancy
La1 0.014 0.069 0.273 1
La2 0.289 0.551 0.727 1
La3 0.327 0.762 0.274 1
Cu1 0.500 0.500 0.500 1
Ag1 0.500 0.000 0.000 1
```

DFT total energy in eV/atom: -4.45
Volume in Å³/cell: 288.1
DFT formation energy in eV/atom: 0.110
Energy relative to the lowest polymorph listed for this composition in eV per atom: 0.187

---

Entry 3:
La6CuAg | PBE | relaxed

```
data_La6CuAg
_space_group_name_H-M_alt 'I 4/m m m'
_space_group_IT_number 139
_space_group_name_Hall '-I 4 2'
_cell_length_a 5.315
_cell_length_b 5.315
_cell_length_c 17.784
_cell_angle_alpha 90.00
_cell_angle_beta 90.00
_cell_angle_gamma 90.00
loop_
_atom_site_label
_atom_site_fract_x
_atom_site_fract_y
_atom_site_fract_z
_atom_site_occupancy
La1 0.000 0.000 0.250 1
La2 0.000 0.500 0.104 1
Cu1 0.000 0.000 0.000 1
Ag1 0.000 0.000 0.500 1
```

DFT total energy in eV/atom: -4.64
Volume in Å³/cell: 502.4
DFT formation energy in eV/atom: -0.077
Energy relative to the lowest polymorph listed for this composition in eV per atom: 0.000

---

Entry 4:
LaCu3Ag | PBE | relaxed

```
data_LaCu3Ag
_space_group_name_H-M_alt 'P m -3 m'
_space_group_IT_number 221
_space_group_name_Hall '-P 4 2 3'
_cell_length_a 4.785
_cell_length_b 4.785
_cell_length_c 4.785
_cell_angle_alpha 90.00
_cell_angle_beta 90.00
_cell_angle_gamma 90.00
loop_
_atom_site_label
_atom_site_fract_x
_atom_site_fract_y
_atom_site_fract_z
_atom_site_occupancy
La1 0.000 0.000 0.000 1
Cu1 0.000 0.500 0.500 1
Ag1 0.500 0.500 0.500 1
```

DFT total energy in eV/atom: -3.70
Volume in Å³/cell: 109.6
DFT formation energy in eV/atom: 0.315
Energy relative to the lowest polymorph listed for this composition in eV per atom: 0.000

---

Entry 5:
La3CuAg | PBE | relaxed

```
data_La3CuAg
_space_group_name_H-M_alt 'P m -3 m'
_space_group_IT_number 221
_space_group_name_Hall '-P 4 2 3'
_cell_length_a 5.581
_cell_length_b 5.581
_cell_length_c 5.581
_cell_angle_alpha 90.00
_cell_angle_beta 90.00
_cell_angle_gamma 90.00
loop_
_atom_site_label
_atom_site_fract_x
_atom_site_fract_y
_atom_site_fract_z
_atom_site_occupancy
La1 0.000 0.000 0.500 1
Cu1 0.000 0.000 0.000 1
Ag1 0.500 0.500 0.500 1
```

DFT total energy in eV/atom: -4.12
Volume in Å³/cell: 173.8
DFT formation energy in eV/atom: 0.224
Energy relative to the lowest polymorph listed for this composition in eV per atom: 0.359

---

Entry 6:
La2CuAg2 | PBE | relaxed

```
data_La2CuAg2
_space_group_name_H-M_alt 'P 4/m b m'
_space_group_IT_number 127
_space_group_name_Hall '-P 4 2ab'
_cell_length_a 7.365
_cell_length_b 7.365
_cell_length_c 4.681
_cell_angle_alpha 90.00
_cell_angle_beta 90.00
_cell_angle_gamma 90.00
loop_
_atom_site_label
_atom_site_fract_x
_atom_site_fract_y
_atom_site_fract_z
_atom_site_occupancy
La1 0.169 0.331 0.000 1
Cu1 0.000 0.000 0.500 1
Ag1 0.136 0.636 0.500 1
```

DFT total energy in eV/atom: -4.03
Volume in Å³/cell: 253.9
DFT formation energy in eV/atom: -0.104
Energy relative to the lowest polymorph listed for this composition in eV per atom: 0.127